No. 1
The following is a PBE calculation of crystalline KAlSeBr2 at its relaxed geometry, from Alexandria.

Unit cell a=5.388 b=5.388 c=4.841 alpha=90.00 beta=90.00 gamma=90.00
Fractional positions:
K1 0.000 0.000 0.000
Al1 0.500 0.500 0.500
Se1 0.500 0.500 0.000
Br1 0.000 0.500 0.500
Br2 0.500 0.000 0.500

Output
Total moment in μB per cell: 0.00
Formation energy without anion corrections in eV per atom: -0.9744
Calculated volume in Å³ per cell: 141
Energy in eV per atom: -3.31
Polymorph energy (0 for the lowest one) in eV/f.u.: 0.000


No. 2
The following is a PBE calculation of crystalline KAlTl2Br at its relaxed geometry, from Alexandria.

Unit cell a=6.450 b=6.450 c=6.055 alpha=90.00 beta=90.00 gamma=90.00
Fractional positions:
K1 0.000 0.000 0.000
Al1 0.000 0.000 0.500
Tl1 0.000 0.500 0.000
Tl2 0.500 0.000 0.000
Br1 0.500 0.500 0.500

Output
Total moment in μB per cell: 0.00
Formation energy without anion corrections in eV per atom: 0.6311
Calculated volume in Å³ per cell: 252
Energy in eV per atom: -1.62


No. 3
The following is a PBE calculation of crystalline KAlTl2Br6 at its relaxed geometry, from Alexandria.

Unit cell a=7.527 b=7.527 c=8.072 alpha=90.00 beta=90.00 gamma=120.00
Fractional positions:
K1 0.000 0.000 0.000
Al1 0.000 0.000 0.500
Tl1 0.333 0.667 0.391
Tl2 0.667 0.333 0.609
Br1 0.159 0.318 0.682
Br2 0.159 0.841 0.682
Br3 0.318 0.159 0.318
Br4 0.682 0.841 0.682
Br5 0.841 0.159 0.318
Br6 0.841 0.682 0.318

Output
Total moment in μB per cell: 0.00
Formation energy without anion corrections in eV per atom: -1.1202
Calculated volume in Å³ per cell: 396
Energy in eV per atom: -3.08


No. 4
The following is a PBE calculation of crystalline KAlVBr6 at its relaxed geometry, from Alexandria.

Unit cell a=6.727 b=6.727 c=14.816 alpha=90.00 beta=90.00 gamma=120.00
Fractional positions:
K1 0.000 0.000 0.000
K2 0.000 0.000 0.500
Al1 0.333 0.667 0.250
Al2 0.667 0.333 0.750
V1 0.333 0.667 0.750
V2 0.667 0.333 0.250
Br1 0.010 0.373 0.152
Br2 0.010 0.637 0.348
Br3 0.363 0.373 0.348
Br4 0.363 0.990 0.152
Br5 0.373 0.010 0.652
Br6 0.373 0.363 0.848
Br7 0.627 0.637 0.152
Br8 0.627 0.990 0.348
Br9 0.637 0.010 0.848
Br10 0.637 0.627 0.652
Br11 0.990 0.363 0.652
Br12 0.990 0.627 0.848

Output
Total moment in μB per cell: 6.00
Formation energy without anion corrections in eV per atom: -1.1367
Calculated volume in Å³ per cell: 581
Energy in eV per atom: -3.80


- The lowest calculated volume belongs to which entry?
  KAlSeBr2


- Which formula does entry 4 have?
  KAlVBr6


Please write out number 3 again, unchanged.
The following is a PBE calculation of crystalline KAlTl2Br6 at its relaxed geometry, from Alexandria.

Unit cell a=7.527 b=7.527 c=8.072 alpha=90.00 beta=90.00 gamma=120.00
Fractional positions:
K1 0.000 0.000 0.000
Al1 0.000 0.000 0.500
Tl1 0.333 0.667 0.391
Tl2 0.667 0.333 0.609
Br1 0.159 0.318 0.682
Br2 0.159 0.841 0.682
Br3 0.318 0.159 0.318
Br4 0.682 0.841 0.682
Br5 0.841 0.159 0.318
Br6 0.841 0.682 0.318

Output
Total moment in μB per cell: 0.00
Formation energy without anion corrections in eV per atom: -1.1202
Calculated volume in Å³ per cell: 396
Energy in eV per atom: -3.08